Entry 1:
Density functional theory data (GGA-PBE) for a relaxed structure of HgP2Pd2.

Lattice parameters (Å, degrees): 7.7976 7.7976 2.8237 90.00 90.00 90.00
With the nearest neighbours (Å) after each atom.
Fractional positions:
1 Hg 0.0000 0.0000 0.0000  2 Hg 2.82, 4 P 3.04
2 Hg 0.5000 0.5000 0.0000  2 Hg 2.82, 4 P 3.04
3 P 0.1332 0.3668 0.0000  4 Pd 2.56, 2 P 2.82
4 P 0.3668 0.8668 0.0000  4 Pd 2.56, 2 P 2.82
5 P 0.6332 0.1332 0.0000  4 Pd 2.56, 2 P 2.82
6 P 0.8668 0.6332 0.0000  4 Pd 2.56, 2 P 2.82
7 Pd 0.1404 0.6404 0.5000  4 P 2.56, 2 Pd 2.82
8 Pd 0.3596 0.1404 0.5000  4 P 2.56, 2 Pd 2.82
9 Pd 0.6404 0.8596 0.5000  4 P 2.56, 2 Pd 2.82
10 Pd 0.8596 0.3596 0.5000  4 P 2.56, 2 Pd 2.82

Raw total energy, eV per cell: -42.319
Volume, Å³ per atom: 17.17
Fermi-level density of states, states/eV/f.u.: 2.3
SG: P4/mbm (127)

Entry 2:
Density functional theory data (GGA-PBE) for a relaxed structure of TmInTc.

Lattice parameters (Å, degrees): 13.2934 4.1102 5.1894 90.00 102.47 90.00
With the nearest neighbours (Å) after each atom.
Fractional positions:
1 Tm 0.1298 0.0000 0.3189  4 Tc 2.82-3.14
2 Tm 0.3702 0.5000 0.6811  4 Tc 2.82-3.14
3 Tm 0.6298 0.5000 0.3189  4 Tc 2.82-3.14
4 Tm 0.8702 0.0000 0.6811  4 Tc 2.82-3.14
5 In 0.0689 0.5000 0.7855  3 Tc 2.89, 2 In 3.13-3.17
6 In 0.4311 0.0000 0.2145  3 Tc 2.89, 2 In 3.13-3.17
7 In 0.5689 0.0000 0.7855  3 Tc 2.89, 2 In 3.13-3.17
8 In 0.9311 0.5000 0.2145  3 Tc 2.89, 2 In 3.13-3.17
9 Tc 0.2258 0.0000 0.8836  2 Tc 2.40
10 Tc 0.2742 0.5000 0.1164  2 Tc 2.40
11 Tc 0.7258 0.5000 0.8836  2 Tc 2.40
12 Tc 0.7742 0.0000 0.1164  2 Tc 2.40

Raw total energy, eV per cell: -72.068
Volume, Å³ per atom: 23.07
Fermi-level density of states, states/eV/f.u.: 1.8
SG: C2/m (12)

Entry 3:
Density functional theory data (GGA-PBE) for a relaxed structure of BaCoP2.

Lattice parameters (Å, degrees): 3.9106 3.9106 17.4190 90.00 90.00 120.00
With the nearest neighbours (Å) after each atom.
Fractional positions:
1 Ba 0.0000 0.0000 0.0000  8 P 3.21-3.53
2 Ba 0.3333 0.6667 0.6667  8 P 3.21-3.53
3 Ba 0.6667 0.3333 0.3333  8 P 3.21-3.53
4 Co 0.0000 0.0000 0.5000  6 P 2.34
5 Co 0.3333 0.6667 0.1667  6 P 2.34
6 Co 0.6667 0.3333 0.8333  6 P 2.34
7 P 0.0000 0.0000 0.2026  3 Co 2.34, 3 P 2.58
8 P 0.0000 0.0000 0.7974  3 Co 2.34, 3 P 2.58
9 P 0.3333 0.6667 0.4641  3 Co 2.34, 3 P 2.58
10 P 0.3333 0.6667 0.8692  3 Co 2.34, 3 P 2.58
11 P 0.6667 0.3333 0.1308  3 Co 2.34, 3 P 2.58
12 P 0.6667 0.3333 0.5359  3 Co 2.34, 3 P 2.58

Raw total energy, eV per cell: -66.750
Volume, Å³ per atom: 19.23
Fermi-level density of states, states/eV/f.u.: 2.1
SG: R-3m (166)

Entry 4:
Density functional theory data (GGA-PBE) for a relaxed structure of Tb8Ag2Ru.

Lattice parameters (Å, degrees): 9.0892 9.0892 6.8723 106.81 106.81 33.55
With the nearest neighbours (Å) after each atom.
Fractional positions:
1 Tb 0.0269 0.0269 0.2923  1 Ag 2.94, 2 Ru 3.09, 1 Tb 3.26
2 Tb 0.1985 0.1985 0.8048  1 Ag 2.90
3 Tb 0.3410 0.3410 0.5315  1 Ru 2.84, 1 Ag 2.94
4 Tb 0.4101 0.4101 0.0684  1 Ru 2.91
5 Tb 0.5899 0.5899 0.9316  1 Ru 2.91
6 Tb 0.6590 0.6590 0.4685  1 Ru 2.84, 1 Ag 2.94
7 Tb 0.8015 0.8015 0.1952  1 Ag 2.90
8 Tb 0.9731 0.9731 0.7077  1 Ag 2.94, 2 Ru 3.09, 1 Tb 3.26
9 Ag 0.1840 0.1840 0.2140  3 Tb 2.90-2.94
10 Ag 0.8160 0.8160 0.7860  3 Tb 2.90-2.94
11 Ru 0.5000 0.5000 0.5000  8 Tb 2.84-3.09

Raw total energy, eV per cell: -54.019
Volume, Å³ per atom: 27.19
Fermi-level density of states, states/eV/f.u.: 10.7
SG: C2/m (12)

Entry 5:
Density functional theory data (GGA-PBE) for a relaxed structure of Ir2PtBr.

Lattice parameters (Å, degrees): 2.9337 2.9337 25.9775 90.00 90.00 120.00
With the nearest neighbours (Å) after each atom.
Fractional positions:
1 Ir 0.0000 0.0000 0.2492  3 Pt 2.73, 3 Br 2.77, 6 Ir 2.93
2 Ir 0.0000 0.0000 0.7508  3 Pt 2.73, 3 Br 2.77, 6 Ir 2.93
3 Ir 0.3333 0.6667 0.4175  3 Pt 2.73, 3 Br 2.77, 6 Ir 2.93
4 Ir 0.3333 0.6667 0.9159  3 Pt 2.73, 3 Br 2.77, 6 Ir 2.93
5 Ir 0.6667 0.3333 0.0841  3 Pt 2.73, 3 Br 2.77, 6 Ir 2.93
6 Ir 0.6667 0.3333 0.5825  3 Pt 2.73, 3 Br 2.77, 6 Ir 2.93
7 Pt 0.0000 0.0000 0.5000  6 Ir 2.73, 6 Pt 2.93
8 Pt 0.3333 0.6667 0.1667  6 Ir 2.73, 6 Pt 2.93
9 Pt 0.6667 0.3333 0.8333  6 Ir 2.73, 6 Pt 2.93
10 Br 0.0000 0.0000 0.0000  6 Ir 2.77, 6 Br 2.93
11 Br 0.3333 0.6667 0.6667  6 Ir 2.77, 6 Br 2.93
12 Br 0.6667 0.3333 0.3333  6 Ir 2.77, 6 Br 2.93

Energy relative to the elements, uncorrected, eV per formula unit: 2.790
Volume, Å³ per atom: 16.14
Fermi-level density of states, states/eV/f.u.: 5.0
SG: R-3m (166)

Entry 6:
Density functional theory data (GGA-PBE) for a relaxed structure of UPaTc5P2.

Lattice parameters (Å, degrees): 4.0801 4.0801 8.7905 90.00 90.00 90.00
With the nearest neighbours (Å) after each atom.
Fractional positions:
1 U 0.0000 0.0000 0.0000  12 Tc 2.89
2 Pa 0.0000 0.0000 0.5000  8 P 3.11, 8 Tc 3.11
3 Tc 0.0000 0.5000 0.2326  2 P 2.36
4 Tc 0.0000 0.5000 0.7674  2 P 2.36
5 Tc 0.5000 0.0000 0.2326  2 P 2.36
6 Tc 0.5000 0.0000 0.7674  2 P 2.36
7 Tc 0.5000 0.5000 0.0000  4 U 2.89, 8 Tc 2.89
8 P 0.5000 0.5000 0.3687  1 P 2.31, 4 Tc 2.36
9 P 0.5000 0.5000 0.6313  1 P 2.31, 4 Tc 2.36

Raw total energy, eV per cell: -87.848
Volume, Å³ per atom: 16.26
Fermi-level density of states, states/eV/f.u.: 10.7
SG: P4/mmm (123)

Entry 7:
Density functional theory data (GGA-PBE) for a relaxed structure of Sm15DySc4.

Lattice parameters (Å, degrees): 5.0215 5.0215 25.0256 90.00 90.00 90.00
With the nearest neighbours (Å) after each atom.
Fractional positions:
1 Sm 0.0000 0.0000 0.0000  4 Dy 3.55, 8 Sm 3.60
2 Sm 0.0000 0.0000 0.2026  8 Sm 3.53-3.54, 4 Sc 3.55
3 Sm 0.0000 0.0000 0.4008  8 Sm 3.53, 4 Sc 3.55
4 Sm 0.0000 0.0000 0.5992  8 Sm 3.53, 4 Sc 3.55
5 Sm 0.0000 0.0000 0.7974  8 Sm 3.53-3.54, 4 Sc 3.55
6 Sm 0.0000 0.5000 0.1031  2 Sc 3.53, 8 Sm 3.54-3.60, 2 Dy 3.60
7 Sm 0.0000 0.5000 0.3016  8 Sm 3.53-3.55, 4 Sc 3.53
8 Sm 0.0000 0.5000 0.5000  8 Sm 3.53-3.55, 4 Sc 3.53
9 Sm 0.0000 0.5000 0.6984  8 Sm 3.53-3.55, 4 Sc 3.53
10 Sm 0.0000 0.5000 0.8969  2 Sc 3.53, 8 Sm 3.54-3.60, 2 Dy 3.60
11 Sm 0.5000 0.0000 0.1031  2 Sc 3.53, 8 Sm 3.54-3.60, 2 Dy 3.60
12 Sm 0.5000 0.0000 0.3016  8 Sm 3.53-3.55, 4 Sc 3.53
13 Sm 0.5000 0.0000 0.5000  8 Sm 3.53-3.55, 4 Sc 3.53
14 Sm 0.5000 0.0000 0.6984  8 Sm 3.53-3.55, 4 Sc 3.53
15 Sm 0.5000 0.0000 0.8969  2 Sc 3.53, 8 Sm 3.54-3.60, 2 Dy 3.60
16 Dy 0.5000 0.5000 0.0000  12 Sm 3.55-3.60
17 Sc 0.5000 0.5000 0.2023  12 Sm 3.53-3.55
18 Sc 0.5000 0.5000 0.4008  12 Sm 3.53-3.55
19 Sc 0.5000 0.5000 0.5992  12 Sm 3.53-3.55
20 Sc 0.5000 0.5000 0.7977  12 Sm 3.53-3.55

Raw total energy, eV per cell: -100.091
Volume, Å³ per atom: 31.55
Fermi-level density of states, states/eV/f.u.: 25.2
SG: P4/mmm (123)

Entry 8:
Density functional theory data (GGA-PBE) for a relaxed structure of V5Pd.

Lattice parameters (Å, degrees): 4.3863 12.3838 3.0281 90.00 90.00 90.00
With the nearest neighbours (Å) after each atom.
Fractional positions:
1 V 0.0000 0.0000 0.0000  4 V 2.54, 4 Pd 2.67
2 V 0.0000 0.1645 0.5000  8 V 2.48-2.67
3 V 0.0000 0.3233 0.0000  6 V 2.48-2.67, 2 Pd 2.66
4 V 0.0000 0.6767 0.0000  6 V 2.48-2.67, 2 Pd 2.66
5 V 0.0000 0.8355 0.5000  8 V 2.48-2.67
6 V 0.5000 0.1767 0.0000  6 V 2.48-2.67, 2 Pd 2.66
7 V 0.5000 0.3355 0.5000  8 V 2.48-2.67
8 V 0.5000 0.5000 0.0000  4 V 2.54, 4 Pd 2.67
9 V 0.5000 0.6645 0.5000  8 V 2.48-2.67
10 V 0.5000 0.8233 0.0000  6 V 2.48-2.67, 2 Pd 2.66
11 Pd 0.0000 0.5000 0.5000  8 V 2.66-2.67
12 Pd 0.5000 0.0000 0.5000  8 V 2.66-2.67

Raw total energy, eV per cell: -102.663
Volume, Å³ per atom: 13.71
Fermi-level density of states, states/eV/f.u.: 5.8
SG: Cmmm (65)

Entry 9:
Density functional theory data (GGA-PBE) for a relaxed structure of AcYPb2.

Lattice parameters (Å, degrees): 3.7412 3.7412 9.0892 90.00 90.00 90.00
With the nearest neighbours (Å) after each atom.
Fractional positions:
1 Ac 0.0000 0.0000 0.0000  8 Pb 3.60, 4 Ac 3.74
2 Y 0.0000 0.0000 0.5000  8 Pb 3.38, 4 Y 3.74
3 Pb 0.5000 0.5000 0.2685  4 Y 3.38, 4 Ac 3.60, 4 Pb 3.74
4 Pb 0.5000 0.5000 0.7315  4 Y 3.38, 4 Ac 3.60, 4 Pb 3.74

Raw total energy, eV per cell: -19.849
Volume, Å³ per atom: 31.80
Fermi-level density of states, states/eV/f.u.: 2.9
SG: P4/mmm (123)

Entry 10:
Density functional theory data (GGA-PBE) for a relaxed structure of BaCrGa2Rh.

Lattice parameters (Å, degrees): 4.8315 4.8315 5.1561 90.00 90.00 90.00
With the nearest neighbours (Å) after each atom.
Fractional positions:
1 Ba 0.0000 0.0000 0.0000  4 Cr 3.42, 8 Ga 3.53
2 Cr 0.5000 0.5000 0.0000  2 Rh 2.58
3 Ga 0.0000 0.5000 0.5000  2 Rh 2.42
4 Ga 0.5000 0.0000 0.5000  2 Rh 2.42
5 Rh 0.5000 0.5000 0.5000  4 Ga 2.42, 2 Cr 2.58

Raw total energy, eV per cell: -25.464
Volume, Å³ per atom: 24.07
Fermi-level density of states, states/eV/f.u.: 5.1
SG: P4/mmm (123)

Entry 11:
Density functional theory data (GGA-PBE) for a relaxed structure of ScZnAu2.

Lattice parameters (Å, degrees): 6.0105 6.0105 11.8403 90.00 90.00 90.00
With the nearest neighbours (Å) after each atom.
Fractional positions:
1 Sc 0.0000 0.0000 0.0000  4 Au 2.67
2 Sc 0.0000 0.5000 0.2500  4 Au 2.67
3 Sc 0.5000 0.0000 0.7500  4 Au 2.67
4 Sc 0.5000 0.5000 0.5000  4 Au 2.67
5 Zn 0.0000 0.0000 0.5000  4 Au 2.52
6 Zn 0.0000 0.5000 0.7500  4 Au 2.52
7 Zn 0.5000 0.0000 0.2500  4 Au 2.52
8 Zn 0.5000 0.5000 0.0000  4 Au 2.52
9 Au 0.2284 0.2500 0.6250  2 Zn 2.52, 2 Sc 2.67
10 Au 0.2500 0.7284 0.8750  2 Zn 2.52, 2 Sc 2.67
11 Au 0.2500 0.7716 0.3750  2 Zn 2.52, 2 Sc 2.67
12 Au 0.2716 0.2500 0.1250  2 Zn 2.52, 2 Sc 2.67
13 Au 0.7284 0.7500 0.1250  2 Zn 2.52, 2 Sc 2.67
14 Au 0.7500 0.2284 0.3750  2 Zn 2.52, 2 Sc 2.67
15 Au 0.7500 0.2716 0.8750  2 Zn 2.52, 2 Sc 2.67
16 Au 0.7716 0.7500 0.6250  2 Zn 2.52, 2 Sc 2.67

Raw total energy, eV per cell: -56.868
Volume, Å³ per atom: 26.73
Fermi-level density of states, states/eV/f.u.: 1.8
SG: I-42d (122)

Entry 12:
Density functional theory data (GGA-PBE) for a relaxed structure of InSnHgAu.

Lattice parameters (Å, degrees): 7.2785 7.2785 7.2785 90.00 90.00 90.00
With the nearest neighbours (Å) after each atom.
Fractional positions:
1 In 0.0000 0.0000 0.0000  4 Hg 3.15, 4 Au 3.15
2 In 0.0000 0.5000 0.5000  4 Hg 3.15, 4 Au 3.15
3 In 0.5000 0.0000 0.5000  4 Hg 3.15, 4 Au 3.15
4 In 0.5000 0.5000 0.0000  4 Hg 3.15, 4 Au 3.15
5 Sn 0.0000 0.0000 0.5000  4 Au 3.15, 4 Hg 3.15
6 Sn 0.0000 0.5000 0.0000  4 Au 3.15, 4 Hg 3.15
7 Sn 0.5000 0.0000 0.0000  4 Au 3.15, 4 Hg 3.15
8 Sn 0.5000 0.5000 0.5000  4 Hg 3.15, 4 Au 3.15
9 Hg 0.2500 0.2500 0.2500  4 Sn 3.15, 4 In 3.15
10 Hg 0.2500 0.7500 0.7500  4 Sn 3.15, 4 In 3.15
11 Hg 0.7500 0.2500 0.7500  4 Sn 3.15, 4 In 3.15
12 Hg 0.7500 0.7500 0.2500  4 Sn 3.15, 4 In 3.15
13 Au 0.2500 0.2500 0.7500  4 In 3.15, 4 Sn 3.15
14 Au 0.2500 0.7500 0.2500  4 In 3.15, 4 Sn 3.15
15 Au 0.7500 0.2500 0.2500  4 In 3.15, 4 Sn 3.15
16 Au 0.7500 0.7500 0.7500  4 In 3.15, 4 Sn 3.15

Raw total energy, eV per cell: -40.643
Volume, Å³ per atom: 24.10
Fermi-level density of states, states/eV/f.u.: 1.8
SG: F-43m (216)

> Look up the volume of the fifth one.

16.14 Å³ per atom